Al2ZnAg, relaxed, DFT GGA-PBEsol; ΔE_f = -0.039 eV/atom; N(E_F) = 0.97 states/eV/cell
1.0
2.931 0.000 0.000
1.466 2.538 0.000
1.466 0.846 8.493
Ag Al Zn
1 2 1
direct
0.000 0.000 0.000 Ag
0.249 0.249 0.254 Al
0.751 0.751 0.746 Al
0.500 0.500 0.500 Zn

AlZnAg2, relaxed, DFT GGA-PBEsol; ΔE_f = -0.087 eV/atom; N(E_F) = 0.85 states/eV/cell
1.0
-0.209 2.261 -1.838
-3.482 1.802 2.614
4.754 0.300 2.150
Al Ag Zn
1 2 1
direct
0.501 0.427 0.002 Al
0.752 0.327 0.504 Ag
0.998 0.922 0.996 Ag
0.249 0.824 0.499 Zn

AlZn2Ag, relaxed, DFT GGA-PBEsol; ΔE_f = 0.023 eV/atom; N(E_F) = 0.97 states/eV/cell
1.0
-0.501 1.109 2.481
3.137 -2.781 1.877
3.436 3.337 -0.798
Ag Zn Al
1 2 1
direct
0.500 0.000 0.500 Ag
0.500 0.500 0.000 Zn
0.000 0.000 0.000 Zn
0.000 0.500 0.500 Al

Al2ZnAg, relaxed, DFT GGA-PBEsol; ΔE_f = 0.001 eV/atom; N(E_F) = 1.31 states/eV/cell
1.0
-2.033 1.023 1.849
1.470 -3.122 3.344
2.424 4.131 0.379
Zn Al Ag
1 2 1
direct
0.500 0.000 0.000 Zn
0.000 0.000 0.500 Al
0.000 0.500 0.000 Al
0.500 0.500 0.500 Ag

AlZnAg2, relaxed, DFT GGA-PBEsol; ΔE_f = -0.073 eV/atom; N(E_F) = 1.27 states/eV/cell
1.0
-1.245 -1.564 -2.224
2.292 -2.945 0.787
-3.743 -1.982 3.489
Ag Zn Al
2 1 1
direct
0.000 0.000 0.984 Ag
0.500 0.500 0.264 Ag
0.500 0.500 0.759 Zn
0.000 0.000 0.493 Al

AlZn2Ag, relaxed, DFT GGA-PBEsol; ΔE_f = -0.002 eV/atom; N(E_F) = 0.94 states/eV/cell
1.0
2.850 0.014 0.000
-0.333 4.667 0.000
0.000 0.000 4.671
Ag Zn Al
1 2 1
direct
0.000 0.000 0.500 Ag
0.747 0.748 0.000 Zn
0.253 0.252 0.000 Zn
0.500 0.500 0.500 Al

Al2ZnAg, relaxed, DFT GGA-PBEsol; ΔE_f = -0.005 eV/atom; N(E_F) = 1.26 states/eV/cell
1.0
2.791 0.000 0.000
0.000 3.904 0.000
0.000 0.000 5.815
Al Zn Ag
2 1 1
direct
0.000 0.000 0.758 Al
0.000 0.000 0.242 Al
0.500 0.500 0.000 Zn
0.500 0.500 0.500 Ag

Al2ZnAg, relaxed, DFT GGA-PBEsol; ΔE_f = 0.055 eV/atom; N(E_F) = 1.21 states/eV/cell
1.0
-2.558 -0.925 -0.269
1.543 -3.357 -3.139
1.245 -0.976 5.401
Al Zn Ag
2 1 1
direct
0.748 0.748 0.497 Al
0.252 0.252 0.503 Al
0.500 0.000 0.000 Zn
0.000 0.500 0.000 Ag